This record from Alexandria via LeMat-Bulk describes a relaxed structure of LaTbGaAu. The functional is GGA-PBE.

Cell lengths 5.252, 5.252, 5.252 Å; angles 60.00, 60.00, 60.00 degrees
Fractional positions:
Tb1 0.000 0.000 0.000
Au1 0.750 0.750 0.750
Ga1 0.250 0.250 0.250
La1 0.500 0.500 0.500

Raw total energy ... -18.5 eV for the cell shown
ρ ... 9.2 g/cm3
Space-group type ... F-43m
Formation enthalpy at 0 K ... -0.649 eV per atom